No. 1
A relaxed K3Na2NiF8 crystal. Source: Alexandria, functional GGA+U.

## Properties
Magnetic moment (μB per atom): 0.22
Symmetry: P-3m1
Raw total energy (eV per cell): -57.63

Lattice parameters (Å, degrees): 5.8096 5.8096 8.0082 90.00 90.00 120.00
Fractional positions:
K1 0.3333 0.6667 0.6274
K2 0.6667 0.3333 0.3726
K3 0.0000 0.0000 0.0000
Na1 0.3333 0.6667 0.1949
Na2 0.6667 0.3333 0.8051
Ni1 0.0000 0.0000 0.5000
F1 0.3333 0.6667 0.9333
F2 0.6667 0.3333 0.0667
F3 0.1540 0.8460 0.3588
F4 0.8460 0.1540 0.6412
F5 0.1540 0.3080 0.3588
F6 0.8460 0.6920 0.6412
F7 0.6920 0.8460 0.3588
F8 0.3080 0.1540 0.6412


No. 2
A relaxed K2NaNiF6 crystal. Source: Alexandria, functional GGA+U.

## Properties
Magnetic moment (μB per atom): 0.10
Symmetry: Fm-3m
Raw total energy (eV per cell): -41.47
Density of states at the Fermi level (states/eV per atom): 0.49

Lattice parameters (Å, degrees): 5.8913 5.8913 5.8913 60.00 60.00 60.00
Fractional positions:
K1 0.2500 0.2500 0.2500
K2 0.7500 0.7500 0.7500
Na1 0.5000 0.5000 0.5000
Ni1 0.0000 0.0000 0.0000
F1 0.7702 0.2298 0.7702
F2 0.2298 0.2298 0.7702
F3 0.7702 0.7702 0.2298
F4 0.7702 0.2298 0.2298
F5 0.2298 0.7702 0.2298
F6 0.2298 0.7702 0.7702